Density functional theory data (PBE-GGA) for a relaxed LuScTlFe crystal.

Computed properties:
The total energy is -5.262 eV per atom. The total moment comes out at 3.99 μB per cell. The value obtained for the energy above the lowest structure with this stoichiometry is 0.0 meV per atom. As for the volume: 315.3 Å³ per cell.

Structure (CIF):
```
data_LuScTlFe
_chemical_formula_sum 'Lu4 Sc4 Tl4 Fe4'
_symmetry_space_group_name_H-M 'F -4 3 m'
_symmetry_Int_Tables_number 216
_symmetry_space_group_name_Hall 'F -4 2 3'
_cell_length_a 6.8062
_cell_length_b 6.8062
_cell_length_c 6.8062
_cell_angle_alpha 90.00
_cell_angle_beta 90.00
_cell_angle_gamma 90.00
loop_
_atom_site_label
_atom_site_type_symbol
_atom_site_fract_x
_atom_site_fract_y
_atom_site_fract_z
Lu1 Lu 0.0000 0.0000 0.0000
Sc1 Sc 0.2500 0.2500 0.2500
Tl1 Tl 0.0000 0.0000 0.5000
Fe1 Fe 0.2500 0.2500 0.7500
```

***

Density functional theory data (PBE-GGA) for a relaxed Pr2Dy2BI5 crystal.

Computed properties:
The total energy is -4.406 eV per atom. The total moment comes out at 0.01 μB per cell. As for the volume: 709.7 Å³ per cell.

Structure (CIF):
```
data_Pr2Dy2BI5
_chemical_formula_sum 'Pr4 Dy4 B2 I10'
_symmetry_space_group_name_H-M 'C 1 2/m 1'
_symmetry_Int_Tables_number 12
_cell_length_a 19.4861
_cell_length_b 4.1454
_cell_length_c 8.9951
_cell_angle_alpha 90.00
_cell_angle_beta 102.39
_cell_angle_gamma 90.00
loop_
_symmetry_equiv_pos_as_xyz
'x,y,z'
'-x,-y,-z'
'-x,y,-z'
'x,-y,z'
'x+1/2,y+1/2,z'
'-x+1/2,-y+1/2,-z'
'-x+1/2,y+1/2,-z'
'x+1/2,-y+1/2,z'
loop_
_atom_site_label
_atom_site_type_symbol
_atom_site_fract_x
_atom_site_fract_y
_atom_site_fract_z
Pr1 Pr 0.0012 0.0000 0.2979
Dy1 Dy 0.1328 0.5000 0.5664
B1 B 0.0000 0.5000 0.5000
I1 I 0.0000 0.5000 0.0000
I2 I 0.1674 0.0000 0.8268
I3 I 0.1728 0.0000 0.3396
```

***

Look up the total moment of the second one. 0.01 μB per cell

***

What is the formula in the first record? LuScTlFe

***

Number 2 is which compound? Pr2Dy2BI5